Entry from Alexandria: crystalline TiReMo3 at its relaxed geometry (PBE-GGA).

Values from the calculation:
Energy above the most stable polymorph in this dataset: 0.0000 eV per atom
Calculated formation energy: 0.359 eV per atom

```
data_TiReMo3
_chemical_formula_sum 'Ti4 Re4 Mo12'
_cell_length_a 5.067
_cell_length_b 6.287
_cell_length_c 10.769
_cell_angle_alpha 90.00
_cell_angle_beta 90.00
_cell_angle_gamma 90.00
_space_group_name_H-M_alt 'P 1'
_space_group_IT_number 1
loop_
_space_group_symop_operation_xyz
'x,y,z'
loop_
_atom_site_label
_atom_site_type_symbol
_atom_site_fract_x
_atom_site_fract_y
_atom_site_fract_z
Ti1 Ti 0.000 0.500 0.000
Ti2 Ti 0.500 0.000 0.500
Ti3 Ti 0.500 0.000 0.000
Ti4 Ti 0.000 0.500 0.500
Re1 Re 0.001 0.606 0.750
Re2 Re 0.499 0.106 0.250
Re3 Re 0.999 0.394 0.250
Re4 Re 0.501 0.894 0.750
Mo1 Mo 0.000 0.078 0.107
Mo2 Mo 0.500 0.578 0.607
Mo3 Mo 0.500 0.578 0.893
Mo4 Mo 0.000 0.922 0.607
Mo5 Mo 0.000 0.922 0.893
Mo6 Mo 0.500 0.422 0.393
Mo7 Mo 0.500 0.422 0.107
Mo8 Mo 0.000 0.078 0.393
Mo9 Mo 0.250 0.250 0.750
Mo10 Mo 0.250 0.750 0.250
Mo11 Mo 0.750 0.750 0.250
Mo12 Mo 0.750 0.250 0.750
```

Entry from Alexandria: crystalline Cs2PBr5F at its relaxed geometry (PBE-GGA).

Values from the calculation:
Formation energy from raw total energies: -11.06 eV/f.u.

```
data_Cs2PBr5F
_chemical_formula_sum 'Cs2 P1 Br5 F1'
_cell_length_a 7.694
_cell_length_b 7.694
_cell_length_c 7.694
_cell_angle_alpha 89.99
_cell_angle_beta 120.01
_cell_angle_gamma 120.01
_space_group_name_H-M_alt 'P 1'
_space_group_IT_number 1
loop_
_space_group_symop_operation_xyz
'x,y,z'
loop_
_atom_site_label
_atom_site_type_symbol
_atom_site_fract_x
_atom_site_fract_y
_atom_site_fract_z
Cs1 Cs 0.500 0.240 0.740
Cs2 Cs 0.500 0.740 0.240
P1 P 0.000 0.991 0.991
Br1 Br 0.459 0.218 0.218
Br2 Br 0.541 0.759 0.759
Br3 Br 0.000 0.759 0.218
Br4 Br 0.000 0.218 0.759
Br5 Br 0.000 0.235 0.235
F1 F 0.000 0.838 0.838
```

Entry from Alexandria: crystalline RbBaVRe2 at its relaxed geometry (PBE-GGA).

Values from the calculation:
Energy above the most stable polymorph in this dataset: 0.1772 eV per atom
Calculated formation energy: 3.419 eV per atom

```
data_RbBaVRe2
_chemical_formula_sum 'Rb1 Ba1 V1 Re2'
_cell_length_a 5.166
_cell_length_b 5.166
_cell_length_c 5.773
_cell_angle_alpha 90.00
_cell_angle_beta 90.00
_cell_angle_gamma 90.00
_space_group_name_H-M_alt 'P 1'
_space_group_IT_number 1
loop_
_space_group_symop_operation_xyz
'x,y,z'
loop_
_atom_site_label
_atom_site_type_symbol
_atom_site_fract_x
_atom_site_fract_y
_atom_site_fract_z
Re1 Re 0.000 0.500 0.000
Re2 Re 0.500 0.000 0.000
Ba1 Ba 0.000 0.000 0.000
Rb1 Rb 0.000 0.000 0.500
V1 V 0.500 0.500 0.500
```

Entry from Alexandria: crystalline ScAlNi2 at its relaxed geometry (PBE-GGA).

Values from the calculation:
Calculated formation energy: -0.310 eV per atom

```
data_ScAlNi2
_chemical_formula_sum 'Sc1 Al1 Ni2'
_cell_length_a 4.317
_cell_length_b 4.317
_cell_length_c 4.317
_cell_angle_alpha 60.00
_cell_angle_beta 60.00
_cell_angle_gamma 60.00
_space_group_name_H-M_alt 'P 1'
_space_group_IT_number 1
loop_
_space_group_symop_operation_xyz
'x,y,z'
loop_
_atom_site_label
_atom_site_type_symbol
_atom_site_fract_x
_atom_site_fract_y
_atom_site_fract_z
Sc1 Sc 0.750 0.750 0.750
Ni1 Ni 0.000 0.000 0.000
Ni2 Ni 0.250 0.250 0.250
Al1 Al 0.500 0.500 0.500
```

Entry from Alexandria: crystalline Ta2NiPt at its relaxed geometry (PBE-GGA).

Values from the calculation:
Calculated formation energy: -0.151 eV per atom

```
data_Ta2NiPt
_chemical_formula_sum 'Ta2 Ni1 Pt1'
_cell_length_a 4.862
_cell_length_b 4.862
_cell_length_c 4.870
_cell_angle_alpha 79.98
_cell_angle_beta 79.98
_cell_angle_gamma 34.08
_space_group_name_H-M_alt 'P 1'
_space_group_IT_number 1
loop_
_space_group_symop_operation_xyz
'x,y,z'
loop_
_atom_site_label
_atom_site_type_symbol
_atom_site_fract_x
_atom_site_fract_y
_atom_site_fract_z
Ni1 Ni 0.750 0.750 0.750
Pt1 Pt 0.250 0.250 0.250
Ta1 Ta 0.002 0.002 0.994
Ta2 Ta 0.498 0.498 0.506
```

Entry from Alexandria: crystalline EuGdZnSn at its relaxed geometry (PBE-GGA).

Values from the calculation:
Calculated formation energy: -0.483 eV per atom

```
data_EuGdZnSn
_chemical_formula_sum 'Eu1 Gd1 Zn1 Sn1'
_cell_length_a 5.344
_cell_length_b 5.344
_cell_length_c 5.344
_cell_angle_alpha 60.00
_cell_angle_beta 60.00
_cell_angle_gamma 60.00
_space_group_name_H-M_alt 'P 1'
_space_group_IT_number 1
loop_
_space_group_symop_operation_xyz
'x,y,z'
loop_
_atom_site_label
_atom_site_type_symbol
_atom_site_fract_x
_atom_site_fract_y
_atom_site_fract_z
Eu1 Eu 0.000 0.000 0.000
Zn1 Zn 0.750 0.750 0.750
Gd1 Gd 0.500 0.500 0.500
Sn1 Sn 0.250 0.250 0.250
```

Which density belongs to each record? In order, 10.10; 3.69; 6.96; 5.52; 16.12; 7.59 g/cm³.